Density functional theory data (PBE) for a relaxed structure of Tl4CdHg5.

Output
**Crystal system**: tetragonal
**Calculated formation energy**: -0.005 eV per atom
**ΔE to the lowest computed polymorph**: 0.000 eV/atom
**Space group**: P4/mmm
**Density of states at the Fermi level**: 0.57 states/eV/atom
**Total magnetization**: 0.0 μB/f.u.

Cell: 3.843 3.843 19.083 Å, 90.00 90.00 90.00°
Fractional positions:
Tl1 0.000 0.000 0.103
Tl2 0.000 0.000 0.310
Tl3 0.000 0.000 0.690
Tl4 0.000 0.000 0.897
Cd1 0.000 0.000 0.500
Hg1 0.500 0.500 0.000
Hg2 0.500 0.500 0.207
Hg3 0.500 0.500 0.413
Hg4 0.500 0.500 0.587
Hg5 0.500 0.500 0.793


Density functional theory data (PBE) for a relaxed structure of CaZrFe2.

Output
**Crystal system**: tetragonal
**Calculated formation energy**: 0.377 eV per atom
**Space group**: P4/mmm
**Density of states at the Fermi level**: 1.56 states/eV/atom
**Total magnetization**: 3.2 μB/f.u.

Cell: 4.756 4.756 3.255 Å, 90.00 90.00 90.00°
Fractional positions:
Ca1 0.000 0.000 0.000
Zr1 0.500 0.500 0.000
Fe1 0.000 0.500 0.500
Fe2 0.500 0.000 0.500


Density functional theory data (PBE) for a relaxed structure of LaPu2Cd2Sn2.

Output
**Crystal system**: trigonal
**Calculated formation energy**: -0.266 eV per atom
**Space group**: R-3m
**Density of states at the Fermi level**: 1.98 states/eV/atom
**Total magnetization**: 12.6 μB/f.u.

Cell: 9.350 9.350 9.350 Å, 30.89 30.89 30.89°
Fractional positions:
La1 0.000 0.000 0.000
Pu1 0.146 0.146 0.146
Pu2 0.854 0.854 0.854
Cd1 0.430 0.430 0.430
Cd2 0.570 0.570 0.570
Sn1 0.266 0.266 0.266
Sn2 0.734 0.734 0.734


Density functional theory data (PBE) for a relaxed structure of SbAsI2N.

Output
**Crystal system**: tetragonal
**ΔE to the lowest computed polymorph**: 0.000 eV/atom
**Space group**: P4/mmm
**Density of states at the Fermi level**: 0.64 states/eV/atom
**Total magnetization**: 0.0 μB/f.u.

Cell: 6.083 6.083 3.691 Å, 90.00 90.00 90.00°
Fractional positions:
Sb1 0.000 0.000 0.000
As1 0.500 0.500 0.500
I1 0.000 0.500 0.500
I2 0.500 0.000 0.500
N1 0.500 0.500 0.000